# PBE-GGA ScMnPb, relaxed
data_ScMnPb
_cell_length_a 3.2894
_cell_length_b 3.2894
_cell_length_c 7.0568
_cell_angle_alpha 90.00
_cell_angle_beta 90.00
_cell_angle_gamma 120.00
_symmetry_space_group_name_H-M 'P 1'
_symmetry_Int_Tables_number 1
_symmetry_space_group_name_Hall 'P 1'
loop_
_atom_site_label
_atom_site_type_symbol
_atom_site_fract_x
_atom_site_fract_y
_atom_site_fract_z
Mn1 Mn 0.0000 0.0000 0.9886
Pb1 Pb 0.3333 0.6667 0.3198
Sc1 Sc 0.6667 0.3333 0.6916
# relative energy among the computed polymorphs: 159 meV per atom
# formation energy: 0.19 eV per atom
# total magnetization: 2.82 μB/cell

=====

# PBE-GGA ScMnPb2, relaxed
data_ScMnPb2
_cell_length_a 3.3427
_cell_length_b 3.3427
_cell_length_c 8.2501
_cell_angle_alpha 90.00
_cell_angle_beta 90.00
_cell_angle_gamma 90.00
_symmetry_space_group_name_H-M 'P 1'
_symmetry_Int_Tables_number 1
_symmetry_space_group_name_Hall 'P 1'
loop_
_atom_site_label
_atom_site_type_symbol
_atom_site_fract_x
_atom_site_fract_y
_atom_site_fract_z
Mn1 Mn 0.5000 0.5000 0.7500
Pb1 Pb 0.0000 0.0000 0.9836
Pb2 Pb 0.0000 0.0000 0.5164
Sc1 Sc 0.5000 0.5000 0.2500
# formation energy: 0.13 eV per atom
# total magnetization: 4.00 μB/cell

=====

# PBE-GGA ScMn2Pb, relaxed
data_ScMn2Pb
_cell_length_a 3.2734
_cell_length_b 3.7788
_cell_length_c 6.2471
_cell_angle_alpha 90.00
_cell_angle_beta 90.00
_cell_angle_gamma 90.00
_symmetry_space_group_name_H-M 'P 1'
_symmetry_Int_Tables_number 1
_symmetry_space_group_name_Hall 'P 1'
loop_
_atom_site_label
_atom_site_type_symbol
_atom_site_fract_x
_atom_site_fract_y
_atom_site_fract_z
Mn1 Mn 0.0000 0.0000 0.9773
Mn2 Mn 0.0000 0.0000 0.5227
Pb1 Pb 0.5000 0.5000 0.2500
Sc1 Sc 0.5000 0.5000 0.7500
# formation energy: 0.20 eV per atom
# total magnetization: 6.32 μB/cell

=====

# PBE-GGA ScMn2Pb, relaxed
data_ScMn2Pb
_cell_length_a 9.5858
_cell_length_b 9.5858
_cell_length_c 9.5858
_cell_angle_alpha 19.15
_cell_angle_beta 19.15
_cell_angle_gamma 19.15
_symmetry_space_group_name_H-M 'P 1'
_symmetry_Int_Tables_number 1
_symmetry_space_group_name_Hall 'P 1'
loop_
_atom_site_label
_atom_site_type_symbol
_atom_site_fract_x
_atom_site_fract_y
_atom_site_fract_z
Mn1 Mn 0.0040 0.0040 0.0040
Mn2 Mn 0.4960 0.4960 0.4960
Pb1 Pb 0.2500 0.2500 0.2500
Sc1 Sc 0.7500 0.7500 0.7500
# formation energy: 0.39 eV per atom
# total magnetization: 6.81 μB/cell

=====

# PBE-GGA ScMnTe2Pb, relaxed
data_ScMnTe2Pb
_cell_length_a 5.5598
_cell_length_b 5.0689
_cell_length_c 5.5598
_cell_angle_alpha 90.00
_cell_angle_beta 90.00
_cell_angle_gamma 90.00
_symmetry_space_group_name_H-M 'P 1'
_symmetry_Int_Tables_number 1
_symmetry_space_group_name_Hall 'P 1'
loop_
_atom_site_label
_atom_site_type_symbol
_atom_site_fract_x
_atom_site_fract_y
_atom_site_fract_z
Pb1 Pb 0.5000 0.5000 0.5000
Sc1 Sc 0.0000 0.0000 0.0000
Te1 Te 0.0000 0.0000 0.5000
Te2 Te 0.5000 0.0000 0.0000
Mn1 Mn 0.0000 0.5000 0.0000
# total magnetization: 4.06 μB/cell
# raw formation energy: 0.17 eV per atom

=====

# PBE-GGA MnPb2Se, relaxed
data_MnPb2Se
_cell_length_a 5.2354
_cell_length_b 5.2354
_cell_length_c 5.2354
_cell_angle_alpha 60.00
_cell_angle_beta 60.00
_cell_angle_gamma 60.00
_symmetry_space_group_name_H-M 'P 1'
_symmetry_Int_Tables_number 1
_symmetry_space_group_name_Hall 'P 1'
loop_
_atom_site_label
_atom_site_type_symbol
_atom_site_fract_x
_atom_site_fract_y
_atom_site_fract_z
Mn1 Mn 0.5000 0.5000 0.5000
Pb1 Pb 0.0000 0.0000 0.0000
Pb2 Pb 0.2500 0.2500 0.2500
Se1 Se 0.7500 0.7500 0.7500
# total magnetization: 4.24 μB/cell
# raw formation energy: 0.32 eV per atom

=====

# PBE-GGA MnPb2Se, relaxed
data_MnPb2Se
_cell_length_a 6.4963
_cell_length_b 6.4963
_cell_length_c 8.0346
_cell_angle_alpha 66.15
_cell_angle_beta 66.15
_cell_angle_gamma 90.00
_symmetry_space_group_name_H-M 'P 1'
_symmetry_Int_Tables_number 1
_symmetry_space_group_name_Hall 'P 1'
loop_
_atom_site_label
_atom_site_type_symbol
_atom_site_fract_x
_atom_site_fract_y
_atom_site_fract_z
Pb1 Pb 0.6060 0.1250 0.2500
Pb2 Pb 0.1440 0.6250 0.2500
Pb3 Pb 0.3750 0.3940 0.7500
Pb4 Pb 0.8750 0.8560 0.7500
Mn1 Mn 0.5000 0.5000 0.0000
Mn2 Mn 0.2500 0.7500 0.5000
Se1 Se 0.0000 0.0000 0.0000
Se2 Se 0.7500 0.2500 0.5000
# total magnetization: 7.61 μB/cell
# raw formation energy: 0.38 eV per atom

=====

# PBE-GGA MnPbSe2, relaxed
data_MnPbSe2
_cell_length_a 6.0043
_cell_length_b 6.0043
_cell_length_c 6.0043
_cell_angle_alpha 145.34
_cell_angle_beta 123.71
_cell_angle_gamma 67.82
_symmetry_space_group_name_H-M 'P 1'
_symmetry_Int_Tables_number 1
_symmetry_space_group_name_Hall 'P 1'
loop_
_atom_site_label
_atom_site_type_symbol
_atom_site_fract_x
_atom_site_fract_y
_atom_site_fract_z
Mn1 Mn 0.2500 0.7500 0.5000
Pb1 Pb 0.7500 0.2500 0.5000
Se1 Se 0.0829 0.0829 0.0000
Se2 Se 0.4171 0.4171 0.0000
# total magnetization: 3.73 μB/cell
# raw formation energy: -0.27 eV per atom